(1)
Here is a relaxed structure of Ba2Mg12InHg3 from Alexandria via LeMat-Bulk. Energies are from PBE-GGA.

Energy of formation   -0.024 eV per atom
Total magnetic moment   0.000 μB per formula unit
VASP energy   -27.06 eV for the cell shown

abc: 7.9581 7.9581 7.9581
angles: 85.09 85.09 85.09
Last column: nearest neighbours and their distance in Å.
Fractional positions:
Ba  0.7520  0.7520  0.7520  3 Hg 3.34, 3 Mg 3.69, 1 In 3.70
Ba  0.2480  0.2480  0.2480  3 Hg 3.34, 3 Mg 3.69, 1 In 3.70
Mg  0.8319  0.4357  0.4357  6 Mg 3.07-3.22
Mg  0.4357  0.4357  0.8319  6 Mg 3.07-3.22
Mg  0.8078  0.8078  0.2758  1 In 2.96, 1 Hg 3.03, 5 Mg 3.07-3.12
Mg  0.7242  0.1922  0.1922  1 In 2.96, 1 Hg 3.03, 5 Mg 3.07-3.12
Mg  0.1681  0.5643  0.5643  6 Mg 3.07-3.22
Mg  0.5643  0.5643  0.1681  6 Mg 3.07-3.22
Mg  0.2758  0.8078  0.8078  1 In 2.96, 1 Hg 3.03, 5 Mg 3.07-3.12
Mg  0.1922  0.1922  0.7242  1 In 2.96, 1 Hg 3.03, 5 Mg 3.07-3.12
Mg  0.5643  0.1681  0.5643  6 Mg 3.07-3.22
Mg  0.4357  0.8319  0.4357  6 Mg 3.07-3.22
Mg  0.1922  0.7242  0.1922  1 In 2.96, 1 Hg 3.03, 5 Mg 3.07-3.12
Mg  0.8078  0.2758  0.8078  1 In 2.96, 1 Hg 3.03, 5 Mg 3.07-3.12
Hg  0.0000  0.5000  0.0000  2 Mg 3.03, 2 Ba 3.34
Hg  0.0000  0.0000  0.5000  2 Mg 3.03, 2 Ba 3.34
Hg  0.5000  0.0000  0.0000  2 Mg 3.03, 2 Ba 3.34
In  0.0000  0.0000  0.0000  6 Mg 2.96

(2)
Here is a relaxed structure of BaMgInHg3 from Alexandria via LeMat-Bulk. Energies are from PBE-GGA.

Energy of formation   -0.208 eV per atom
Total magnetic moment   0.000 μB per formula unit
VASP energy   -16.82 eV for the cell shown

abc: 7.1050 7.2262 7.9789
angles: 116.93 90.00 90.00
Last column: nearest neighbours and their distance in Å.
Fractional positions:
In  0.7500  0.6350  0.2700  5 Hg 2.97-3.03
In  0.2500  0.3650  0.7300  5 Hg 2.97-3.03
Hg  0.5000  0.2880  0.0000  2 Mg 2.80, 2 In 3.03, 1 Hg 3.06
Hg  0.2500  0.1564  0.3129  1 Mg 2.83, 1 In 2.97
Hg  0.0000  0.2880  0.0000  2 Mg 2.80, 2 In 3.03, 1 Hg 3.06
Hg  0.7500  0.8436  0.6871  1 Mg 2.83, 1 In 2.97
Hg  0.5000  0.7120  0.0000  2 Mg 2.80, 2 In 3.03, 1 Hg 3.06
Hg  0.0000  0.7120  0.0000  2 Mg 2.80, 2 In 3.03, 1 Hg 3.06
Mg  0.7500  0.0427  0.0854  5 Hg 2.80-2.83
Mg  0.2500  0.9573  0.9146  5 Hg 2.80-2.83
Ba  0.7500  0.2983  0.5966  1 Mg 3.64, 6 Hg 3.67-3.71, 2 In 3.68
Ba  0.2500  0.7017  0.4034  1 Mg 3.64, 6 Hg 3.67-3.71, 2 In 3.68

(3)
Here is a relaxed structure of BaMgIn2Hg from Alexandria via LeMat-Bulk. Energies are from PBE-GGA.

Energy of formation   -0.332 eV per atom
Total magnetic moment   0.000 μB per formula unit
VASP energy   -10.96 eV for the cell shown

abc: 4.9190 4.9190 7.0905
angles: 110.30 110.30 90.00
Last column: nearest neighbours and their distance in Å.
Fractional positions:
In  0.3832  0.3832  0.7664  1 In 2.89, 2 Hg 2.96, 2 Mg 2.96
In  0.6168  0.6168  0.2336  1 In 2.89, 2 Hg 2.96, 2 Mg 2.96
Hg  0.7500  0.2500  0.5000  4 In 2.96
Mg  0.2500  0.7500  0.5000  4 In 2.96
Ba  0.0000  0.0000  0.0000  8 In 3.77, 4 Hg 3.95, 4 Mg 3.95

(4)
Here is a relaxed structure of Ba6In2HgN from Alexandria via LeMat-Bulk. Energies are from PBE-GGA.

Uncorrected formation energy   -337 meV/atom
Total magnetic moment   0.002 μB per formula unit
VASP energy   -58.03 eV for the cell shown

abc: 7.9866 9.0686 11.6925
angles: 90.00 86.44 90.00
Last column: nearest neighbours and their distance in Å.
Fractional positions:
Ba  0.6413  0.2816  0.5541  1 N 2.88
Ba  0.3587  0.7184  0.4459  1 N 2.88
Ba  0.8587  0.7816  0.9459  1 N 2.88
Ba  0.1413  0.2184  0.0541  1 N 2.88
Ba  0.7962  0.8461  0.5515  1 N 2.84
Ba  0.6126  0.0317  0.2774  1 N 2.72
Ba  0.2038  0.1539  0.4485  1 N 2.84
Ba  0.7038  0.3461  0.9485  1 N 2.84
Ba  0.2962  0.6539  0.0515  1 N 2.84
Ba  0.1126  0.4683  0.7774  1 N 2.72
Ba  0.3874  0.9683  0.7226  1 N 2.72
Ba  0.8874  0.5317  0.2226  1 N 2.72
Hg  0.0000  0.5000  0.5000  6 Ba 3.43-3.57
Hg  0.5000  0.0000  0.0000  6 Ba 3.43-3.57
In  0.4525  0.4003  0.2540  6 Ba 3.58-3.88
In  0.0475  0.9003  0.2460  6 Ba 3.58-3.88
In  0.9525  0.0997  0.7540  6 Ba 3.58-3.88
In  0.5475  0.5997  0.7460  6 Ba 3.58-3.88
N  0.5000  0.0000  0.5000  6 Ba 2.72-2.88
N  0.0000  0.5000  0.0000  6 Ba 2.72-2.88

Number 1 is which compound?
Ba2Mg12InHg3